1.
{
  "formula": "Tl3InTc",
  "functional": "SCAN",
  "state": "PBEsol geometry",
  "ef_ev_per_atom": 0.434,
  "n_ef_per_ev_atom": 0.585,
  "cell": [[-1.769, -1.753, -4.622], [-2.779, -3.708, 2.470], [-4.088, 3.278, 0.322]],
  "species": ["In", "Tc", "Tl", "Tl", "Tl"],
  "fractional_positions": [[0.500, 0.500, 0.500], [0.000, 0.000, 0.000], [0.000, 0.500, 0.000], [0.000, 0.000, 0.500], [0.500, 0.000, 0.000]]
}

2.
{
  "formula": "Mo8Ru",
  "functional": "SCAN",
  "state": "PBEsol geometry",
  "ef_ev_per_atom": 0.067,
  "n_ef_per_ev_atom": 0.745,
  "cell": [[3.114, 0.000, 0.000], [1.557, 6.608, 0.000], [1.557, 0.000, 6.608]],
  "species": ["Mo", "Mo", "Mo", "Mo", "Ru", "Mo", "Mo", "Mo", "Mo"],
  "fractional_positions": [[0.668, 0.664, 0.000], [0.332, 0.000, 0.336], [0.669, 0.331, 0.331], [0.331, 0.669, 0.669], [0.000, 0.000, 0.000], [0.668, 0.000, 0.664], [0.000, 0.331, 0.669], [0.000, 0.669, 0.331], [0.332, 0.336, 0.000]]
}

3.
{
  "formula": "KLaTe3",
  "functional": "SCAN",
  "state": "PBEsol geometry",
  "n_ef_per_ev_atom": 0.870,
  "raw_formation_energy_mev_per_atom": -44,
  "cell": [[5.670, 0.000, 0.000], [0.000, 5.670, 0.000], [0.000, 0.000, 5.670]],
  "species": ["La", "Te", "K", "Te", "Te"],
  "fractional_positions": [[0.500, 0.500, 0.500], [0.000, 0.000, 0.500], [0.000, 0.000, 0.000], [0.500, 0.000, 0.000], [0.000, 0.500, 0.000]]
}

4.
{
  "formula": "Ba2LiAu",
  "functional": "SCAN",
  "state": "PBEsol geometry",
  "ef_ev_per_atom": -0.388,
  "n_ef_per_ev_atom": 0.957,
  "e_above_lowest_polymorph_kj_per_mol_fu": 29,
  "cell": [[-3.486, -1.859, -1.172], [0.186, -3.249, 4.599], [-2.999, 3.838, 2.832]],
  "species": ["Ba", "Au", "Ba", "Li"],
  "fractional_positions": [[0.000, 0.500, 0.000], [0.500, 0.000, 0.000], [0.000, 0.000, 0.500], [0.500, 0.500, 0.500]]
}

5.
{
  "formula": "CrGaAgHg2",
  "functional": "SCAN",
  "state": "PBEsol geometry",
  "ef_ev_per_atom": 0.626,
  "n_ef_per_ev_atom": 0.405,
  "cell": [[-4.222, 1.632, 1.486], [-2.344, -4.088, -2.170], [0.532, -2.655, 4.426]],
  "species": ["Cr", "Hg", "Ga", "Hg", "Ag"],
  "fractional_positions": [[0.500, 0.500, 0.500], [0.000, 0.000, 0.500], [0.500, 0.000, 0.000], [0.000, 0.500, 0.000], [0.000, 0.000, 0.000]]
}

6.
{
  "formula": "BeTlIn2",
  "functional": "SCAN",
  "state": "PBEsol geometry",
  "ef_ev_per_atom": 0.350,
  "n_ef_per_ev_atom": 0.363,
  "e_above_lowest_polymorph_kj_per_mol_fu": 25,
  "cell": [[-2.408, 0.535, 2.040], [1.794, -1.806, 1.941], [4.004, 7.065, 2.873]],
  "species": ["In", "In", "Tl", "Be"],
  "fractional_positions": [[0.000, 0.000, 0.053], [0.500, 0.500, 0.763], [0.000, 0.000, 0.449], [0.500, 0.500, 0.235]]
}

7.
{
  "formula": "Ti3HIr",
  "functional": "SCAN",
  "state": "PBEsol geometry",
  "n_ef_per_ev_atom": 1.230,
  "e_above_lowest_polymorph_kj_per_mol_fu": 644,
  "cell": [[4.736, 0.000, 0.000], [0.000, 4.736, 0.000], [0.000, 0.000, 4.736]],
  "species": ["H", "Ti", "Ti", "Ti", "Ir"],
  "fractional_positions": [[0.500, 0.500, 0.500], [0.000, 0.000, 0.500], [0.500, 0.000, 0.000], [0.000, 0.500, 0.000], [0.000, 0.000, 0.000]]
}

8.
{
  "formula": "Ca2CrW",
  "functional": "SCAN",
  "state": "PBEsol geometry",
  "ef_ev_per_atom": 0.752,
  "n_ef_per_ev_atom": 0.719,
  "e_above_lowest_polymorph_kj_per_mol_fu": 24,
  "cell": [[3.289, 0.000, 0.000], [0.000, 5.352, 0.000], [-1.644, -2.676, 4.986]],
  "species": ["Ca", "W", "Cr", "Ca"],
  "fractional_positions": [[0.981, 0.981, 0.963], [0.199, 0.699, 0.397], [0.543, 0.543, 0.087], [0.777, 0.277, 0.553]]
}

9.
{
  "formula": "RbGe3Mo",
  "functional": "SCAN",
  "state": "PBEsol geometry",
  "ef_ev_per_atom": 2.456,
  "n_ef_per_ev_atom": 0.839,
  "cell": [[5.235, 0.000, 0.000], [0.000, 5.235, 0.000], [0.000, 0.000, 5.235]],
  "species": ["Ge", "Mo", "Ge", "Ge", "Rb"],
  "fractional_positions": [[0.500, 0.000, 0.000], [0.500, 0.500, 0.500], [0.000, 0.500, 0.000], [0.000, 0.000, 0.500], [0.000, 0.000, 0.000]]
}

10.
{
  "formula": "FeHg3F",
  "functional": "SCAN",
  "state": "PBEsol geometry",
  "n_ef_per_ev_atom": 1.195,
  "raw_formation_energy_mev_per_atom": 427,
  "cell": [[-2.829, -3.722, 0.708], [2.812, -1.471, 3.506], [-2.539, 2.518, 3.094]],
  "species": ["F", "Fe", "Hg", "Hg", "Hg"],
  "fractional_positions": [[0.000, 0.000, 0.000], [0.500, 0.500, 0.500], [0.500, 0.000, 0.000], [0.000, 0.000, 0.500], [0.000, 0.500, 0.000]]
}

11.
{
  "formula": "Al3Mo8S16",
  "functional": "SCAN",
  "state": "PBEsol geometry",
  "n_ef_per_ev_atom": 0.248,
  "raw_formation_energy_mev_per_atom": -890,
  "cell": [[6.934, 0.000, 0.000], [0.000, 6.934, 0.000], [0.000, 0.000, 9.826]],
  "species": ["Mo", "S", "S", "S", "S", "S", "Al", "S", "S", "S", "Al", "S", "Mo", "Al", "Mo", "S", "S", "Mo", "S", "S", "Mo", "S", "Mo", "S", "S", "Mo", "Mo"],
  "fractional_positions": [[0.500, 0.799, 0.359], [0.230, 0.000, 0.886], [0.232, 0.000, 0.389], [0.000, 0.232, 0.611], [0.770, 0.000, 0.886], [0.728, 0.500, 0.385], [0.500, 0.500, 0.000], [0.000, 0.770, 0.114], [0.749, 0.500, 0.870], [0.500, 0.272, 0.615], [0.000, 0.500, 0.251], [0.251, 0.500, 0.870], [0.500, 0.201, 0.359], [0.500, 0.000, 0.749], [0.201, 0.500, 0.641], [0.500, 0.728, 0.615], [0.500, 0.749, 0.130], [0.711, 0.000, 0.154], [0.000, 0.768, 0.611], [0.272, 0.500, 0.385], [0.000, 0.289, 0.846], [0.500, 0.251, 0.130], [0.799, 0.500, 0.641], [0.768, 0.000, 0.389], [0.000, 0.230, 0.114], [0.289, 0.000, 0.154], [0.000, 0.711, 0.846]]
}

12.
{
  "formula": "SrSc2Be",
  "functional": "SCAN",
  "state": "PBEsol geometry",
  "ef_ev_per_atom": 0.556,
  "n_ef_per_ev_atom": 0.587,
  "cell": [[-3.251, -0.845, -3.174], [2.188, -3.888, -1.206], [-1.790, 0.139, 5.160]],
  "species": ["Sr", "Sc", "Be", "Sc"],
  "fractional_positions": [[0.500, 0.500, 0.000], [0.750, 0.250, 0.500], [0.250, 0.750, 0.500], [0.000, 0.000, 0.000]]
}

13.
{
  "formula": "GdZnPO",
  "functional": "SCAN",
  "state": "PBEsol geometry",
  "raw_formation_energy_mev_per_atom": -2017,
  "cell": [[-3.536, 0.835, 1.364], [-3.144, -0.842, -2.114], [-2.702, -9.075, 4.071]],
  "species": ["P", "O", "P", "Gd", "Gd", "Zn", "O", "Zn"],
  "fractional_positions": [[0.887, 0.887, 0.338], [0.695, 0.695, 0.915], [0.113, 0.113, 0.662], [0.619, 0.619, 0.142], [0.381, 0.381, 0.858], [0.804, 0.804, 0.588], [0.305, 0.305, 0.085], [0.196, 0.196, 0.412]]
}

14.
{
  "formula": "Na3LiSe",
  "functional": "SCAN",
  "state": "PBEsol geometry",
  "n_ef_per_ev_atom": 0.195,
  "raw_formation_energy_mev_per_atom": -494,
  "cell": [[5.570, 0.000, 0.000], [0.000, 5.570, 0.000], [0.000, 0.000, 5.570]],
  "species": ["Li", "Se", "Na", "Na", "Na"],
  "fractional_positions": [[0.500, 0.500, 0.500], [0.000, 0.000, 0.000], [0.000, 0.000, 0.500], [0.500, 0.000, 0.000], [0.000, 0.500, 0.000]]
}

15.
{
  "formula": "TeI2BrF",
  "functional": "SCAN",
  "state": "PBEsol geometry",
  "n_ef_per_ev_atom": 1.202,
  "raw_formation_energy_mev_per_atom": 556,
  "cell": [[5.647, 0.000, 0.000], [0.000, 5.700, 0.000], [0.000, 0.000, 5.700]],
  "species": ["I", "Te", "F", "Br", "I"],
  "fractional_positions": [[0.000, 0.000, 0.500], [0.500, 0.000, 0.000], [0.500, 0.500, 0.500], [0.000, 0.000, 0.000], [0.000, 0.500, 0.000]]
}

16.
{
  "formula": "MgRhSe2",
  "functional": "SCAN",
  "state": "PBEsol geometry",
  "n_ef_per_ev_atom": 0.415,
  "raw_formation_energy_mev_per_atom": -703,
  "cell": [[-1.089, 3.166, -1.564], [-0.941, -1.838, -3.065], [-4.824, -0.715, 1.910]],
  "species": ["Mg", "Se", "Rh", "Se"],
  "fractional_positions": [[0.000, 0.000, 0.394], [0.500, 0.500, 0.357], [0.500, 0.500, 0.858], [0.000, 0.000, 0.891]]
}

17.
{
  "formula": "Rb2LiCo2",
  "functional": "SCAN",
  "state": "PBEsol geometry",
  "ef_ev_per_atom": 0.632,
  "n_ef_per_ev_atom": 0.500,
  "cell": [[-2.907, 1.597, -0.030], [-0.032, -0.121, -3.315], [-4.580, -11.744, 2.132]],
  "species": ["Li", "Rb", "Co", "Co", "Rb"],
  "fractional_positions": [[0.000, 0.000, 0.000], [0.636, 0.636, 0.273], [0.250, 0.750, 0.500], [0.750, 0.250, 0.500], [0.364, 0.364, 0.727]]
}

18.
{
  "formula": "Ho3Si2Sn3Rh9",
  "functional": "SCAN",
  "state": "PBEsol geometry",
  "n_ef_per_ev_atom": 0.161,
  "raw_formation_energy_mev_per_atom": -982,
  "cell": [[-1.209, 0.011, -3.256], [-7.408, -5.513, 2.731], [-0.764, 9.594, 0.317]],
  "species": ["Sn", "Rh", "Si", "Rh", "Rh", "Rh", "Ho", "Sn", "Ho", "Rh", "Si", "Rh", "Rh", "Ho", "Sn", "Rh", "Rh"],
  "fractional_positions": [[0.500, 0.760, 0.000], [0.000, 0.835, 0.835], [0.500, 0.667, 0.333], [0.000, 0.165, 0.000], [0.000, 0.518, 0.816], [0.000, 0.482, 0.298], [0.500, 0.000, 0.400], [0.500, 0.000, 0.760], [0.500, 0.600, 0.600], [0.000, 0.702, 0.184], [0.500, 0.333, 0.667], [0.000, 0.000, 0.165], [0.000, 0.298, 0.482], [0.500, 0.400, 0.000], [0.500, 0.240, 0.240], [0.000, 0.816, 0.518], [0.000, 0.184, 0.702]]
}

19.
{
  "formula": "Ga2FeSe4",
  "functional": "SCAN",
  "state": "PBEsol geometry",
  "n_ef_per_ev_atom": 0.062,
  "raw_formation_energy_mev_per_atom": -567,
  "cell": [[5.403, 0.000, 0.000], [0.000, 5.403, 0.000], [0.000, 0.000, 5.572]],
  "species": ["Se", "Ga", "Fe", "Se", "Se", "Ga", "Se"],
  "fractional_positions": [[0.263, 0.263, 0.230], [0.000, 0.500, 0.500], [0.000, 0.000, 0.000], [0.263, 0.737, 0.770], [0.737, 0.263, 0.770], [0.500, 0.000, 0.500], [0.737, 0.737, 0.230]]
}

20.
{
  "formula": "TcRhN",
  "functional": "SCAN",
  "state": "PBEsol geometry",
  "n_ef_per_ev_atom": 0.452,
  "raw_formation_energy_mev_per_atom": -113,
  "cell": [[-0.847, -1.905, -1.771], [1.289, -0.743, 2.296], [-4.703, -0.278, 2.550]],
  "species": ["Tc", "N", "Rh"],
  "fractional_positions": [[0.000, 0.000, 0.454], [0.333, 0.667, 0.223], [0.333, 0.667, 0.850]]
}